No. 1
Material: Dy8Bi2Te3
Method: DFT, GGA-PBE
State: relaxed

abc: 7.008 8.538 8.285
angles: 121.02 92.49 90.00
Fractional coordinates of all 13 atoms:
Dy  0.885  0.608  0.217
Dy  0.115  0.392  0.783
Dy  0.838  0.160  0.320
Dy  0.162  0.840  0.680
Dy  0.644  0.595  0.770
Dy  0.644  0.175  0.770
Dy  0.356  0.825  0.230
Dy  0.356  0.405  0.230
Bi  0.409  0.244  0.488
Bi  0.591  0.756  0.512
Te  0.500  0.000  0.000
Te  0.000  0.210  0.000
Te  0.000  0.790  0.000

D(E_F), states/eV per atom: 0.843
M_tot, μB per cell: 0.00
E, eV/atom: -4.78
Symmetry: C2/m, No. 12
Crystal system: monoclinic



No. 2
Material: Dy3Bi2Te2
Method: DFT, GGA-PBE
State: relaxed

abc: 4.351 7.672 8.618
angles: 115.64 104.62 90.00
Fractional coordinates of all 7 atoms:
Dy  0.000  0.500  0.000
Dy  0.259  0.748  0.517
Dy  0.741  0.252  0.483
Bi  0.625  0.795  0.249
Bi  0.375  0.205  0.751
Te  0.873  0.695  0.746
Te  0.127  0.305  0.254

D(E_F), states/eV per atom: 0.575
M_tot, μB per cell: 0.00
E, eV/atom: -4.92
Symmetry: C2/m, No. 12
Crystal system: monoclinic



No. 3
Material: Dy8Bi2Te
Method: DFT, GGA-PBE
State: relaxed

abc: 4.104 9.189 9.343
angles: 94.33 102.69 90.00
Site moments in Bohr magnetons follow the coordinates.
Fractional coordinates of all 11 atoms:
Dy  0.407  0.460  0.814  0.10
Dy  0.665  0.034  0.331  0.07
Dy  0.790  0.641  0.581  0.10
Dy  0.018  0.246  0.036  0.06
Dy  0.210  0.359  0.419  0.10
Dy  0.335  0.966  0.669  0.07
Dy  0.593  0.540  0.186  0.10
Dy  0.982  0.754  0.964  0.06
Bi  0.826  0.226  0.653  0.00
Bi  0.174  0.774  0.347  0.00
Te  0.500  0.000  0.000  0.00

D(E_F), states/eV per atom: 1.011
M_tot, μB per cell: 0.95
E, eV/atom: -4.82
Symmetry: C2/m, No. 12
Crystal system: monoclinic



No. 4
Material: DyBiTe
Method: DFT, GGA-PBE
State: relaxed

abc: 4.391 4.391 9.900
angles: 102.81 102.81 90.00
Fractional coordinates of all 6 atoms:
Dy  0.356  0.356  0.713
Dy  0.644  0.644  0.287
Bi  0.000  0.500  0.000
Bi  0.500  0.000  0.000
Te  0.188  0.188  0.376
Te  0.812  0.812  0.624

D(E_F), states/eV per atom: 0.438
M_tot, μB per cell: 0.00
E, eV/atom: -4.84
Symmetry: I4/mmm, No. 139
Crystal system: tetragonal



No. 5
Material: DyTh2Bi2Te2
Method: DFT, GGA-PBE
State: relaxed

abc: 5.852 5.852 8.856
angles: 109.29 109.29 90.00
Site moments in Bohr magnetons follow the coordinates.
Fractional coordinates of all 7 atoms:
Dy  0.000  0.000  0.000  0.02
Th  0.386  0.386  0.773  0.34
Th  0.614  0.614  0.227  0.34
Bi  0.000  0.500  0.000  -0.02
Bi  0.500  0.000  0.000  -0.02
Te  0.194  0.194  0.387  0.00
Te  0.806  0.806  0.613  0.00

D(E_F), states/eV per atom: 0.342
M_tot, μB per cell: 0.96
E, eV/atom: -5.23
Symmetry: I4/mmm, No. 139
Crystal system: tetragonal



No. 6
Material: DyTl3Bi2Te6
Method: DFT, GGA-PBE
State: relaxed

abc: 7.872 7.872 8.463
angles: 98.92 98.92 120.02
Fractional coordinates of all 12 atoms:
Dy  0.000  0.000  0.000
Tl  0.168  0.832  0.500
Tl  0.832  0.168  0.500
Tl  0.500  0.500  0.500
Bi  0.334  0.666  0.000
Bi  0.666  0.334  0.000
Te  0.927  0.599  0.782
Te  0.745  0.745  0.217
Te  0.073  0.401  0.218
Te  0.599  0.927  0.782
Te  0.255  0.255  0.783
Te  0.401  0.073  0.218

M_tot, μB per cell: 0.00
E, eV/atom: -3.75
Symmetry: C2/m, No. 12
Crystal system: monoclinic



- Which value of M_tot does entry 5 give?
  0.96 μB per cell